Entry 1:
FeNi2Pt: relaxed, GGA-PBEsol.

Lattice parameters (Å, degrees): 4.394 4.394 2.618 90.00 90.00 108.69
Atoms (fractional coordinates):
Fe 0.000 0.000 0.000
Ni 0.000 0.500 0.500
Ni 0.500 0.000 0.500
Pt 0.500 0.500 0.000

Crystal system = orthorhombic
Electronic total energy = -7.134 eV per atom
DOS at the Fermi energy = 4.26 states/eV/f.u.
Spin magnetization = 1.126 μB per atom
Density = 12.8 Mg/m³
SG = Cmmm (65)
DFT formation energy = -0.073 eV per atom



Entry 2:
Fe2NiPt: relaxed, GGA-PBEsol.

Lattice parameters (Å, degrees): 2.846 2.846 6.007 90.00 90.00 90.00
Atoms (fractional coordinates):
Fe 0.000 0.000 0.000
Fe 0.500 0.500 0.239
Ni 0.000 0.000 0.447
Pt 0.500 0.500 0.731

Crystal system = tetragonal
Electronic total energy = -7.792 eV per atom
DOS at the Fermi energy = 3.93 states/eV/f.u.
Spin magnetization = 1.638 μB per atom
Density = 12.5 Mg/m³
SG = P4mm (99)
DFT formation energy = -0.030 eV per atom



Entry 3:
Fe2NiPt: relaxed, GGA-PBEsol.

Lattice parameters (Å, degrees): 4.478 4.478 4.478 132.15 132.15 69.99
Atoms (fractional coordinates):
Fe 0.250 0.750 0.500
Fe 0.750 0.250 0.500
Ni 0.000 0.000 0.000
Pt 0.500 0.500 0.000

Crystal system = tetragonal
Electronic total energy = -7.893 eV per atom
DOS at the Fermi energy = 2.42 states/eV/f.u.
Spin magnetization = 1.595 μB per atom
Density = 12.5 Mg/m³
SG = I4/mmm (139)
DFT formation energy = -0.131 eV per atom



Entry 4:
FeNi2Pt: relaxed, GGA-PBEsol.

Lattice parameters (Å, degrees): 4.426 4.426 4.426 131.48 131.48 71.05
Atoms (fractional coordinates):
Fe 0.000 0.000 0.000
Ni 0.250 0.750 0.500
Ni 0.750 0.250 0.500
Pt 0.500 0.500 0.000

Crystal system = tetragonal
Electronic total energy = -7.180 eV per atom
DOS at the Fermi energy = 4.34 states/eV/f.u.
Spin magnetization = 1.130 μB per atom
Density = 12.8 Mg/m³
SG = I4/mmm (139)
DFT formation energy = -0.119 eV per atom



Entry 5:
FeNiPt: relaxed, GGA-PBEsol.

Lattice parameters (Å, degrees): 3.927 3.927 3.927 60.00 60.00 60.00
Atoms (fractional coordinates):
Fe 0.000 0.000 0.000
Ni 0.250 0.250 0.250
Pt 0.750 0.750 0.750

Crystal system = cubic
Electronic total energy = -7.118 eV per atom
DOS at the Fermi energy = 0.90 states/eV/f.u.
Spin magnetization = 1.353 μB per atom
Density = 12.0 Mg/m³
SG = F-43m (216)
DFT formation energy = 0.244 eV per atom



Entry 6:
Fe2NiPt: relaxed, GGA-PBEsol.

Lattice parameters (Å, degrees): 2.603 4.174 4.469 90.00 90.00 90.00
Atoms (fractional coordinates):
Fe 0.000 0.000 0.000
Fe 0.000 0.500 0.333
Ni 0.500 0.500 0.856
Pt 0.500 0.000 0.504

Crystal system = orthorhombic
Electronic total energy = -7.832 eV per atom
DOS at the Fermi energy = 3.65 states/eV/f.u.
Spin magnetization = 1.560 μB per atom
Density = 12.5 Mg/m³
SG = Pmm2 (25)
DFT formation energy = -0.070 eV per atom